Here is CdHgSe2O8 after structural relaxation from the Alexandria database. Energies are from PBE.

Calculated values
For the final energy, the calculation gives -4.558 eV per atom. The calculation puts the mass density at 6.07 g/cm³. The crystal system is trigonal. Its magnetization is 0.00 μB/f.u. The value obtained for the volume is 13.66 A^3/atom. Its space-group type is R-3 (148). The density of states at the Fermi level is 0.2 states/eV/cell.

a b c (Å): 5.1709 5.1709 7.6805
angles (deg): 70.33 70.33 60.00
With the nearest neighbours (Å) after each atom.
Fractional positions:
O 0.9421 0.5589 0.1932  1 Se 1.69
Hg 0.5000 0.5000 0.5000  12 O 2.73-2.99
O 0.3057 0.9421 0.1932  1 Se 1.69
O 0.5589 0.3057 0.1932  1 Se 1.69
Se 0.7560 0.7560 0.7319  4 O 1.66-1.69
O 0.0579 0.4411 0.8068  1 Se 1.69
O 0.6943 0.0579 0.8068  1 Se 1.69
O 0.8343 0.8343 0.4970  1 Se 1.66
O 0.1657 0.1657 0.5030  1 Se 1.66
Cd 0.0000 0.0000 0.0000  6 O 2.37
Se 0.2440 0.2440 0.2681  4 O 1.66-1.69
O 0.4411 0.6943 0.8068  1 Se 1.69

Here is Sr2CdHgO4 after structural relaxation from the Alexandria database. Energies are from PBE.

Calculated values
For the final energy, the calculation gives -4.725 eV per atom. The calculation puts the mass density at 7.19 g/cm³. The crystal system is monoclinic. Its magnetization is 0.00 μB/f.u. The value obtained for the volume is 15.94 A^3/atom. Its space-group type is P2/m (10).

a b c (Å): 3.5475 6.4299 6.0991
angles (deg): 113.60 90.00 90.00
With the nearest neighbours (Å) after each atom.
Fractional positions:
O 0.0000 0.2730 0.7535  2 Cd 2.40, 3 Sr 2.52-2.54
O 0.5000 0.7611 0.7572  2 Hg 2.42, 3 Sr 2.51-2.60, 1 Cd 2.65
Sr 0.5000 0.0000 0.5000  6 O 2.54-2.60
O 0.0000 0.7270 0.2465  2 Cd 2.40, 3 Sr 2.52-2.54
O 0.5000 0.2389 0.2428  2 Hg 2.42, 3 Sr 2.51-2.60, 1 Cd 2.65
Sr 0.0000 0.5000 0.5000  6 O 2.51-2.52
Hg 0.0000 0.0000 0.0000  4 O 2.42
Cd 0.5000 0.5000 0.0000  6 O 2.40-2.65

> Which formula does entry 1 have?

CdHgSe2O8